DFT (PBE) results for a relaxed structure of YBeCl.

Calculated values
Energy relative to the elements, uncorrected: 0.023 eV per atom
Relative energy among the computed polymorphs: 0.3591 eV per atom
Magnetic moment: 0.00 Bohr magnetons per cell
Calculated density: 3.4 g/cm3

Cell and atoms, written as CIF:
```
data_YBeCl
_chemical_formula_sum 'Y1 Be1 Cl1'
_symmetry_space_group_name_H-M 'P 1'
_symmetry_Int_Tables_number 1
_symmetry_space_group_name_Hall 'P 1'
_cell_length_a 4.508
_cell_length_b 4.508
_cell_length_c 4.508
_cell_angle_alpha 60.00
_cell_angle_beta 60.00
_cell_angle_gamma 60.00
loop_
_atom_site_label
_atom_site_fract_x
_atom_site_fract_y
_atom_site_fract_z
_atom_site_occupancy
Cl1 0.750 0.750 0.750 1
Be1 0.500 0.500 0.500 1
Y1 0.000 0.000 0.000 1
```

DFT (PBE) results for a relaxed structure of Ta4Nb3V2.

Calculated values
Magnetic moment: 0.00 Bohr magnetons per cell
Energy of formation from the pure elements: 150 meV per atom
Calculated density: 11.6 g/cm3

Cell and atoms, written as CIF:
```
data_Ta4Nb3V2
_chemical_formula_sum 'Ta8 Nb6 V4'
_symmetry_space_group_name_H-M 'P 1'
_symmetry_Int_Tables_number 1
_symmetry_space_group_name_Hall 'P 1'
_cell_length_a 6.338
_cell_length_b 6.338
_cell_length_c 8.089
_cell_angle_alpha 96.56
_cell_angle_beta 96.56
_cell_angle_gamma 99.16
loop_
_atom_site_label
_atom_site_fract_x
_atom_site_fract_y
_atom_site_fract_z
_atom_site_occupancy
Ta1 0.167 0.408 0.919 1
Ta2 0.592 0.833 0.581 1
Ta3 0.934 0.191 0.584 1
Ta4 0.408 0.167 0.419 1
Ta5 0.809 0.066 0.916 1
Ta6 0.833 0.592 0.081 1
Ta7 0.191 0.934 0.084 1
Ta8 0.066 0.809 0.416 1
Nb1 0.703 0.962 0.246 1
Nb2 0.616 0.384 0.750 1
Nb3 0.038 0.297 0.254 1
Nb4 0.962 0.703 0.746 1
Nb5 0.384 0.616 0.250 1
Nb6 0.297 0.038 0.754 1
V1 0.738 0.484 0.413 1
V2 0.516 0.262 0.087 1
V3 0.484 0.738 0.913 1
V4 0.262 0.516 0.587 1
```

DFT (PBE) results for a relaxed structure of SiBPd4.

Calculated values
Energy relative to the elements, uncorrected: -0.324 eV per atom
Magnetic moment: 0.00 Bohr magnetons per cell
Calculated density: 9.2 g/cm3

Cell and atoms, written as CIF:
```
data_SiBPd4
_chemical_formula_sum 'Si2 B2 Pd8'
_symmetry_space_group_name_H-M 'P 1'
_symmetry_Int_Tables_number 1
_symmetry_space_group_name_Hall 'P 1'
_cell_length_a 3.193
_cell_length_b 6.730
_cell_length_c 8.641
_cell_angle_alpha 69.15
_cell_angle_beta 90.00
_cell_angle_gamma 103.72
loop_
_atom_site_label
_atom_site_fract_x
_atom_site_fract_y
_atom_site_fract_z
_atom_site_occupancy
Pd1 0.109 0.218 0.007 1
Pd2 0.272 0.543 0.619 1
Pd3 0.728 0.457 0.381 1
Pd4 0.579 0.159 0.742 1
Pd5 0.932 0.864 0.658 1
Pd6 0.068 0.136 0.342 1
Pd7 0.891 0.782 0.993 1
Pd8 0.421 0.841 0.258 1
Si1 0.254 0.509 0.138 1
Si2 0.746 0.491 0.862 1
B1 0.885 0.770 0.441 1
B2 0.115 0.230 0.559 1
```

DFT (PBE) results for a relaxed structure of HoLuP2.

Calculated values
Magnetic moment: 0.00 Bohr magnetons per cell
Energy of formation from the pure elements: -1600 meV per atom
Calculated density: 7.6 g/cm3

Cell and atoms, written as CIF:
```
data_HoLuP2
_chemical_formula_sum 'Ho1 Lu1 P2'
_symmetry_space_group_name_H-M 'P 1'
_symmetry_Int_Tables_number 1
_symmetry_space_group_name_Hall 'P 1'
_cell_length_a 3.953
_cell_length_b 3.953
_cell_length_c 6.841
_cell_angle_alpha 73.20
_cell_angle_beta 73.20
_cell_angle_gamma 60.00
loop_
_atom_site_label
_atom_site_fract_x
_atom_site_fract_y
_atom_site_fract_z
_atom_site_occupancy
Lu1 0.000 0.000 0.000 1
Ho1 0.500 0.500 0.500 1
P1 0.252 0.252 0.245 1
P2 0.748 0.748 0.755 1
```

DFT (PBE) results for a relaxed structure of AlSb2Pd4.

Calculated values
Energy relative to the elements, uncorrected: -0.104 eV per atom
Magnetic moment: 0.00 Bohr magnetons per cell
Calculated density: 8.0 g/cm3

Cell and atoms, written as CIF:
```
data_AlSb2Pd4
_chemical_formula_sum 'Al1 Sb2 Pd4'
_symmetry_space_group_name_H-M 'P 1'
_symmetry_Int_Tables_number 1
_symmetry_space_group_name_Hall 'P 1'
_cell_length_a 4.634
_cell_length_b 4.634
_cell_length_c 7.519
_cell_angle_alpha 72.05
_cell_angle_beta 72.05
_cell_angle_gamma 90.00
loop_
_atom_site_label
_atom_site_fract_x
_atom_site_fract_y
_atom_site_fract_z
_atom_site_occupancy
Pd1 0.500 0.000 0.000 1
Pd2 0.825 0.825 0.350 1
Pd3 0.175 0.175 0.650 1
Pd4 0.000 0.500 0.000 1
Sb1 0.371 0.371 0.258 1
Sb2 0.629 0.629 0.742 1
Al1 0.000 0.000 0.000 1
```

DFT (PBE) results for a relaxed structure of Ho12Cd6Co.

Calculated values
Magnetic moment: 0.00 Bohr magnetons per cell
Energy of formation from the pure elements: -88 meV per atom
Calculated density: 8.3 g/cm3

Cell and atoms, written as CIF:
```
data_Ho12Cd6Co
_chemical_formula_sum 'Ho12 Cd6 Co1'
_symmetry_space_group_name_H-M 'P 1'
_symmetry_Int_Tables_number 1
_symmetry_space_group_name_Hall 'P 1'
_cell_length_a 8.175
_cell_length_b 8.175
_cell_length_c 8.175
_cell_angle_alpha 94.56
_cell_angle_beta 94.56
_cell_angle_gamma 94.56
loop_
_atom_site_label
_atom_site_fract_x
_atom_site_fract_y
_atom_site_fract_z
_atom_site_occupancy
Ho1 0.909 0.691 0.024 1
Ho2 0.427 0.538 0.203 1
Ho3 0.309 0.976 0.091 1
Ho4 0.797 0.573 0.462 1
Ho5 0.691 0.024 0.909 1
Ho6 0.573 0.462 0.797 1
Ho7 0.462 0.797 0.573 1
Ho8 0.024 0.909 0.691 1
Ho9 0.976 0.091 0.309 1
Ho10 0.538 0.203 0.427 1
Ho11 0.091 0.309 0.976 1
Ho12 0.203 0.427 0.538 1
Co1 0.000 0.000 0.000 1
Cd1 0.740 0.348 0.140 1
Cd2 0.140 0.740 0.348 1
Cd3 0.860 0.260 0.652 1
Cd4 0.260 0.652 0.860 1
Cd5 0.348 0.140 0.740 1
Cd6 0.652 0.860 0.260 1
```

DFT (PBE) results for a relaxed structure of LaNdN2.

Calculated values
Energy relative to the elements, uncorrected: -1.038 eV per atom
Magnetic moment: 0.00 Bohr magnetons per cell
Calculated density: 7.2 g/cm3

Cell and atoms, written as CIF:
```
data_LaNdN2
_chemical_formula_sum 'La1 Nd1 N2'
_symmetry_space_group_name_H-M 'P 1'
_symmetry_Int_Tables_number 1
_symmetry_space_group_name_Hall 'P 1'
_cell_length_a 3.618
_cell_length_b 3.618
_cell_length_c 6.354
_cell_angle_alpha 90.01
_cell_angle_beta 90.01
_cell_angle_gamma 120.00
loop_
_atom_site_label
_atom_site_fract_x
_atom_site_fract_y
_atom_site_fract_z
_atom_site_occupancy
La1 0.000 0.500 0.000 1
Nd1 0.000 0.500 0.500 1
N1 0.333 0.167 0.254 1
N2 0.667 0.833 0.746 1
```

DFT (PBE) results for a relaxed structure of Ca3NbPt.

Calculated values
Relative energy among the computed polymorphs: 0.8009 eV per atom
Magnetic moment: 0.00 Bohr magnetons per cell
Energy of formation from the pure elements: 1076 meV per atom
Calculated density: 4.6 g/cm3

Cell and atoms, written as CIF:
```
data_Ca3NbPt
_chemical_formula_sum 'Ca3 Nb1 Pt1'
_symmetry_space_group_name_H-M 'P 1'
_symmetry_Int_Tables_number 1
_symmetry_space_group_name_Hall 'P 1'
_cell_length_a 5.277
_cell_length_b 5.277
_cell_length_c 5.277
_cell_angle_alpha 90.00
_cell_angle_beta 90.00
_cell_angle_gamma 90.00
loop_
_atom_site_label
_atom_site_fract_x
_atom_site_fract_y
_atom_site_fract_z
_atom_site_occupancy
Ca1 0.500 0.000 0.000 1
Ca2 0.000 0.500 0.000 1
Ca3 0.000 0.000 0.500 1
Nb1 0.000 0.000 0.000 1
Pt1 0.500 0.500 0.500 1
```